1.
LiPuCl6 | PBE | relaxed

Values from the calculation:
ρ = 3.41 g cm⁻³
Energy above the most stable polymorph in this dataset = 8 meV per atom
Formation energy (no corrections) = -11.79 eV per formula unit

Cell: 6.634 6.633 7.057 Å, 61.93 61.93 59.99°
Last column: magnetic moment on the atom in μB.
Atoms (fractional coordinates):
Cl (0.109, 0.379, 0.753)  -0.10
Pu (0.000, 0.000, 0.000)  3.73
Cl (0.759, 0.109, 0.753)  -0.10
Cl (0.379, 0.759, 0.753)  -0.10
Cl (0.241, 0.891, 0.247)  -0.10
Li (0.500, 0.500, 0.500)  0.00
Cl (0.621, 0.241, 0.247)  -0.10
Cl (0.891, 0.621, 0.247)  -0.10

---

2.
LiPu4Cl10 | PBE | relaxed

Values from the calculation:
ρ = 5.64 g cm⁻³
Formation energy (no corrections) = -27.35 eV per formula unit

Cell: 6.802 8.333 8.333 Å, 80.41 65.91 65.91°
Last column: magnetic moment on the atom in μB.
Atoms (fractional coordinates):
Li (0.000, 0.000, 0.000)  0.00
Pu (0.602, 0.193, 0.602)  5.64
Cl (0.048, 0.101, 0.299)  -0.03
Cl (0.850, 0.701, 0.101)  -0.03
Cl (0.552, 0.101, 0.299)  -0.03
Cl (0.150, 0.299, 0.899)  -0.03
Cl (0.653, 0.299, 0.899)  -0.03
Cl (0.952, 0.899, 0.701)  -0.03
Pu (0.205, 0.398, 0.193)  5.64
Cl (0.448, 0.899, 0.701)  -0.03
Pu (0.398, 0.807, 0.398)  5.64
Cl (0.347, 0.701, 0.101)  -0.03
Cl (0.250, 0.500, 0.500)  -0.04
Cl (0.750, 0.500, 0.500)  -0.04
Pu (0.795, 0.602, 0.807)  5.64

---

3.
Li2PuCl5 | PBE | relaxed

Values from the calculation:
ρ = 3.30 g cm⁻³
Formation energy (no corrections) = -14.47 eV per formula unit

Cell: 5.190 6.768 13.500 Å, 90.00 90.00 112.55°
Last column: magnetic moment on the atom in μB.
Atoms (fractional coordinates):
Cl (0.963, 0.927, 0.881)  -0.02
Cl (0.037, 0.073, 0.119)  -0.02
Cl (0.037, 0.073, 0.381)  -0.02
Li (0.145, 0.290, 0.532)  0.00
Li (0.855, 0.710, 0.032)  0.00
Cl (0.241, 0.482, 0.750)  -0.03
Cl (0.687, 0.374, 0.575)  -0.02
Cl (0.963, 0.927, 0.619)  -0.02
Li (0.145, 0.290, 0.968)  0.00
Cl (0.313, 0.626, 0.075)  -0.02
Pu (0.195, 0.391, 0.250)  5.02
Pu (0.805, 0.609, 0.750)  5.02
Cl (0.759, 0.518, 0.250)  -0.03
Cl (0.687, 0.374, 0.925)  -0.02
Li (0.855, 0.710, 0.468)  0.00
Cl (0.313, 0.626, 0.425)  -0.02

---

4.
Li3PuCl6 | PBE | relaxed

Values from the calculation:
ρ = 2.65 g cm⁻³
Energy above the most stable polymorph in this dataset = 0 meV per atom
Formation energy (no corrections) = -17.77 eV per formula unit

Cell: 7.416 7.380 7.381 Å, 62.02 62.32 62.31°
Last column: magnetic moment on the atom in μB.
Atoms (fractional coordinates):
Li (0.500, 0.500, 0.000)  0.00
Pu (0.000, 0.000, 0.000)  5.03
Cl (0.721, 0.772, 0.275)  -0.02
Cl (0.276, 0.721, 0.231)  -0.02
Cl (0.719, 0.258, 0.258)  -0.01
Cl (0.724, 0.279, 0.769)  -0.02
Li (0.500, 0.500, 0.500)  0.00
Li (0.500, 0.000, 0.500)  0.00
Cl (0.281, 0.742, 0.742)  -0.01
Cl (0.279, 0.228, 0.725)  -0.02

---

Look up the formation energy (no corrections) of the second one.
-27.35 eV per formula unit

---

What is the formula in the second record?
LiPu4Cl10

---

What did the fourth record say?
Li3PuCl6 | PBE | relaxed

Values from the calculation:
ρ = 2.65 g cm⁻³
Energy above the most stable polymorph in this dataset = 0 meV per atom
Formation energy (no corrections) = -17.77 eV per formula unit

Cell: 7.416 7.380 7.381 Å, 62.02 62.32 62.31°
Last column: magnetic moment on the atom in μB.
Atoms (fractional coordinates):
Li (0.500, 0.500, 0.000)  0.00
Pu (0.000, 0.000, 0.000)  5.03
Cl (0.721, 0.772, 0.275)  -0.02
Cl (0.276, 0.721, 0.231)  -0.02
Cl (0.719, 0.258, 0.258)  -0.01
Cl (0.724, 0.279, 0.769)  -0.02
Li (0.500, 0.500, 0.500)  0.00
Li (0.500, 0.000, 0.500)  0.00
Cl (0.281, 0.742, 0.742)  -0.01
Cl (0.279, 0.228, 0.725)  -0.02

---

Among the records above, which one has the highest ρ?
LiPu4Cl10